(1)
DFT (PBE) results for a geometry-optimized Tb2In8Pt structure.

M_tot: 0.000 μB/atom
raw total energy: -41.93 eV per cell

a b c (Å): 4.6891 4.6891 12.1313
angles (deg): 90.00 90.00 90.00
Element x y z (fractional)
Tb (0.0000, 0.0000, 0.1902)
Tb (0.0000, 0.0000, 0.8098)
In (0.0000, 0.5000, 0.0000)
In (0.0000, 0.5000, 0.3735)
In (0.0000, 0.5000, 0.6265)
In (0.5000, 0.0000, 0.0000)
In (0.5000, 0.0000, 0.3735)
In (0.5000, 0.0000, 0.6265)
In (0.5000, 0.5000, 0.1909)
In (0.5000, 0.5000, 0.8091)
Pt (0.0000, 0.0000, 0.5000)

(2)
DFT (PBE) results for a geometry-optimized K2AlP structure.

distance to the lowest polymorph of the same formula: 2.25 eV per formula unit
M_tot: 0.000 μB/atom
raw total energy: -10.04 eV per cell

a b c (Å): 6.2230 6.2230 3.0575
angles (deg): 90.00 90.00 117.08
Element x y z (fractional)
K (0.0000, 0.5000, 0.0000)
K (0.5000, 0.0000, 0.0000)
Al (0.0000, 0.0000, 0.5000)
P (0.5000, 0.5000, 0.5000)